# 1
HoAl2SiRu2 (GGA-PBE, relaxed); symmetry = P4/mmm; DOS(E_F) = 0.71 states/eV per atom; formation energy from raw total energies = -0.43 eV per atom; calculated density = 6817 kg/m3; total moment = 0.00 Bohr magnetons per cell
1.0
4.4142 0.0000 0.0000
0.0000 4.4142 0.0000
0.0000 0.0000 5.6149
Ho Al Si Ru
1 2 1 2
Direct
0.0000 0.0000 0.0000
0.5000 0.5000 0.2364
0.5000 0.5000 0.7636
0.0000 0.0000 0.5000
0.0000 0.5000 0.5000
0.5000 0.0000 0.5000

# 2
Ba2InHg12 (GGA-PBE, relaxed); symmetry = P4/nbm; DOS(E_F) = 0.38 states/eV per atom; calculated density = 10291 kg/m3; total moment = 0.00 Bohr magnetons per cell; energy relative to the elements = -222 meV per atom
1.0
7.0605 0.0000 0.0000
0.0000 7.0605 0.0000
0.0000 0.0000 18.1030
Ba In Hg
4 2 24
Direct
0.2500 0.7500 0.2483
0.2500 0.7500 0.7517
0.7500 0.2500 0.2483
0.7500 0.2500 0.7517
0.2500 0.7500 0.0000
0.7500 0.2500 0.0000
0.0003 0.9997 0.0938
0.9997 0.0003 0.9062
0.9997 0.4997 0.0938
0.0003 0.5003 0.9062
0.0915 0.5915 0.4332
0.0915 0.9085 0.5668
0.2500 0.2500 0.1889
0.2500 0.2500 0.3514
0.2500 0.2500 0.6486
0.2500 0.2500 0.8111
0.4085 0.5915 0.5668
0.4085 0.9085 0.4332
0.5003 0.0003 0.0938
0.4997 0.9997 0.9062
0.4997 0.5003 0.0938
0.5003 0.4997 0.9062
0.5915 0.0915 0.5668
0.5915 0.4085 0.4332
0.7500 0.7500 0.1889
0.7500 0.7500 0.3514
0.7500 0.7500 0.6486
0.7500 0.7500 0.8111
0.9085 0.0915 0.4332
0.9085 0.4085 0.5668

# 3
LiLa4Cd5 (GGA-PBE, relaxed); symmetry = P4/mmm; DOS(E_F) = 1.17 states/eV per atom; calculated density = 6531 kg/m3; total moment = 0.04 Bohr magnetons per cell; energy relative to the elements = -289 meV per atom
1.0
3.8341 0.0000 0.0000
0.0000 3.8341 0.0000
0.0000 0.0000 19.4513
Li La Cd
1 4 5
Direct
0.0000 0.0000 0.0000
0.0000 0.0000 0.1864
0.0000 0.0000 0.3945
0.0000 0.0000 0.6055
0.0000 0.0000 0.8136
0.5000 0.5000 0.0789
0.5000 0.5000 0.2910
0.5000 0.5000 0.5000
0.5000 0.5000 0.7090
0.5000 0.5000 0.9211

# 4
PuScAl6 (GGA-PBE, relaxed); symmetry = Pmm2; DOS(E_F) = 1.56 states/eV per atom; calculated density = 4998 kg/m3; total moment = 5.81 Bohr magnetons per cell; energy relative to the elements = -277 meV per atom
1.0
4.4823 0.0000 0.0000
0.0000 5.9278 0.0000
0.0000 0.0000 5.6379
Pu Sc Al
1 1 6
Direct
0.0000 0.0000 0.0000
0.5000 0.5000 0.2477
0.0000 0.2501 0.4820
0.0000 0.5000 0.9117
0.0000 0.7499 0.4820
0.5000 0.0000 0.3573
0.5000 0.2637 0.7755
0.5000 0.7363 0.7755

Number 4 is which compound? PuScAl6

Among the records above, which one has the highest calculated density? Ba2InHg12